No. 1
A relaxed structure of PrHo2ReN4. Source: Alexandria, functional PBE.

abc: 3.4764 6.1255 11.5925
angles: 90.00 90.00 106.49
Positions (direct):
Pr 0.1160 0.2320 0.7500
Pr 0.8840 0.7680 0.2500
Ho 0.3688 0.7377 0.5393
Ho 0.6312 0.2623 0.0393
Ho 0.6312 0.2623 0.4607
Ho 0.3688 0.7377 0.9607
Re 0.8541 0.7082 0.7500
Re 0.1459 0.2918 0.2500
N 0.2624 0.5247 0.1258
N 0.7376 0.4753 0.6258
N 0.7376 0.4753 0.8742
N 0.2624 0.5247 0.3742
N 0.0000 0.0000 0.5000
N 0.0000 0.0000 0.0000
N 0.4367 0.8734 0.7500
N 0.5633 0.1266 0.2500

Output
The value obtained for the formation energy (no corrections) is -1.04 eV/atom.

No. 2
A relaxed structure of VGa6. Source: Alexandria, functional PBE.

abc: 6.1031 6.1031 6.1031
angles: 109.47 109.47 109.47
Each line ends with the local moment (μB).
Positions (direct):
V 0.0000 0.0000 0.0000  3.13
Ga 0.2500 0.7500 0.5000  -0.03
Ga 0.5000 0.7500 0.2500  -0.03
Ga 0.2500 0.5000 0.7500  -0.03
Ga 0.7500 0.2500 0.5000  -0.03
Ga 0.5000 0.2500 0.7500  -0.03
Ga 0.7500 0.5000 0.2500  -0.03

Output
The value obtained for the calculated formation energy is 4.75 eV/f.u.

No. 3
A relaxed structure of AcPm7Dy2. Source: Alexandria, functional PBE.

abc: 5.5936 7.7902 9.5544
angles: 114.09 72.98 90.00
Positions (direct):
Ac 0.0000 0.0000 0.0000
Pm 0.8423 0.6573 0.3155
Pm 0.1577 0.3427 0.6845
Pm 0.6317 0.6677 0.7369
Pm 0.3683 0.3323 0.2631
Pm 0.3679 0.9306 0.2638
Pm 0.6321 0.0694 0.7362
Pm 0.5000 0.5000 0.0000
Dy 0.2150 0.7845 0.5699
Dy 0.7850 0.2155 0.4301

Output
As for the offset from the most stable computed form: 0.000 eV per atom. The value obtained for the calculated formation energy is 1.84 eV/f.u.

No. 4
A relaxed structure of PmBe4Pd8. Source: Alexandria, functional PBE.

abc: 5.1150 6.5325 6.5325
angles: 81.18 66.95 66.95
Positions (direct):
Pm 0.0000 0.0000 0.0000
Be 0.0000 0.0000 0.5000
Be 0.5000 0.0000 0.5000
Be 0.0000 0.5000 0.0000
Be 0.5000 0.5000 0.0000
Pd 0.0000 0.3359 0.6641
Pd 0.0000 0.6641 0.3359
Pd 0.3359 0.6641 0.6641
Pd 0.6641 0.3359 0.3359
Pd 0.5000 0.7747 0.2253
Pd 0.5000 0.2253 0.7747
Pd 0.2747 0.2253 0.2253
Pd 0.7253 0.7747 0.7747

Output
The value obtained for the calculated formation energy is -6.76 eV/f.u.

No. 5
A relaxed structure of LiY3Ni8. Source: Alexandria, functional PBE.

abc: 5.0026 5.0026 8.6725
angles: 73.24 73.24 60.00
Positions (direct):
Li 0.8701 0.8701 0.3898
Y 0.3777 0.3777 0.8668
Y 0.9911 0.9911 0.0266
Y 0.5069 0.5069 0.4792
Ni 0.9419 0.4354 0.1873
Ni 0.4381 0.9386 0.6847
Ni 0.4354 0.4354 0.1873
Ni 0.9386 0.9386 0.6847
Ni 0.1883 0.1883 0.4351
Ni 0.6878 0.6878 0.9366
Ni 0.4354 0.9419 0.1873
Ni 0.9386 0.4381 0.6847

Output
The value obtained for the calculated formation energy is -4.51 eV/f.u.

No. 6
A relaxed structure of CaZnCd2. Source: Alexandria, functional PBE.

abc: 6.1626 6.1626 3.2775
angles: 77.47 77.47 120.42
Positions (direct):
Zn 0.5000 0.0000 0.5000
Ca 0.0000 0.5000 0.5000
Cd 0.0000 0.0000 0.0000
Cd 0.5000 0.5000 0.0000

Output
The value obtained for the calculated formation energy is -0.18 eV/f.u.

No. 7
A relaxed structure of Th2Tl5In. Source: Alexandria, functional PBE.

abc: 4.8068 6.8161 13.6362
angles: 90.00 90.00 90.00
Positions (direct):
Th 0.5000 0.2503 0.3755
Th 0.5000 0.7497 0.6245
Th 0.5000 0.2497 0.8755
Th 0.5000 0.7503 0.1245
Tl 0.5000 0.2520 0.1241
Tl 0.5000 0.7480 0.8759
Tl 0.5000 0.7520 0.3759
Tl 0.5000 0.2480 0.6241
Tl 0.0000 0.0009 0.7485
Tl 0.0000 0.9991 0.2515
Tl 0.0000 0.5009 0.7515
Tl 0.0000 0.4991 0.2485
Tl 0.0000 0.5000 0.5000
Tl 0.0000 0.0000 0.0000
In 0.0000 0.0000 0.5000
In 0.0000 0.5000 0.0000

Output
The value obtained for the calculated formation energy is -1.44 eV/f.u.

No. 8
A relaxed structure of Ti6In2Pt. Source: Alexandria, functional PBE.

abc: 4.3754 6.5606 7.6819
angles: 115.28 105.73 90.00
Positions (direct):
Ti 0.1518 0.3916 0.3172
Ti 0.8482 0.0744 0.6828
Ti 0.8482 0.6084 0.6828
Ti 0.5000 0.2270 0.0000
Ti 0.1518 0.9256 0.3172
Ti 0.5000 0.7730 0.0000
In 0.6558 0.6638 0.3276
In 0.3442 0.3362 0.6724
Pt 0.0000 0.0000 0.0000

Output
The value obtained for the calculated formation energy is 1.37 eV/f.u.

No. 9
A relaxed structure of MgCu3Ni. Source: Alexandria, functional PBE.

abc: 4.3921 4.3921 4.3921
angles: 90.00 90.00 90.00
Positions (direct):
Ni 0.0000 0.0000 0.0000
Mg 0.5000 0.5000 0.5000
Cu 0.0000 0.5000 0.0000
Cu 0.0000 0.0000 0.5000
Cu 0.5000 0.0000 0.0000

Output
As for the offset from the most stable computed form: 0.000 eV per atom. The value obtained for the calculated formation energy is 2.84 eV/f.u.

No. 10
A relaxed structure of Ba2CaZnSb2. Source: Alexandria, functional PBE.

abc: 7.1300 7.3553 9.8111
angles: 112.01 111.31 90.00
Positions (direct):
Ba 0.4658 0.1636 0.3273
Ba 0.5342 0.8364 0.6727
Ba 0.1385 0.3364 0.6727
Ba 0.8615 0.6636 0.3273
Ca 0.0000 0.7500 0.0000
Ca 0.0000 0.2500 0.0000
Zn 0.5000 0.7500 0.0000
Zn 0.5000 0.2500 0.0000
Sb 0.9235 0.1275 0.2550
Sb 0.3314 0.6275 0.2550
Sb 0.6686 0.3725 0.7450
Sb 0.0765 0.8725 0.7450

Output
The value obtained for the formation energy (no corrections) is -0.72 eV/atom.

No. 11
A relaxed structure of VZn4Au5. Source: Alexandria, functional PBE.

abc: 3.1251 3.1251 16.6484
angles: 90.00 90.00 90.00
Each line ends with the local moment (μB).
Positions (direct):
V 0.0000 0.0000 0.0000  1.61
Zn 0.0000 0.0000 0.2003  -0.01
Zn 0.0000 0.0000 0.4005  0.00
Zn 0.0000 0.0000 0.5995  0.00
Zn 0.0000 0.0000 0.7997  -0.01
Au 0.5000 0.5000 0.1018  0.01
Au 0.5000 0.5000 0.3012  0.00
Au 0.5000 0.5000 0.5000  -0.01
Au 0.5000 0.5000 0.6988  0.00
Au 0.5000 0.5000 0.8982  0.01

Output
The value obtained for the calculated formation energy is -1.44 eV/f.u.

No. 12
A relaxed structure of Hg3H2. Source: Alexandria, functional PBE.

abc: 5.7375 10.2933 5.2009
angles: 81.16 56.52 73.82
Positions (direct):
Hg 0.5104 0.8389 0.9439
Hg 0.2933 0.1611 0.0561
Hg 0.2044 0.3389 0.5561
Hg 0.0994 0.6611 0.4439
Hg 0.8991 0.0000 0.0000
Hg 0.6491 0.5000 0.5000
H 0.4472 0.5185 0.8844
H 0.8500 0.4815 0.1156
H 0.0815 0.0185 0.6156
H 0.7156 0.9815 0.3844

Output
The calculation puts the total energy at -1.309 eV per atom.

No. 13
A relaxed structure of LaSnAsBr2. Source: Alexandria, functional PBE.

abc: 5.4581 5.4581 5.5702
angles: 90.00 90.00 90.00
Each line ends with the local moment (μB).
Positions (direct):
As 0.0000 0.0000 0.5000  -0.01
Sn 0.0000 0.0000 0.0000  -0.01
Br 0.0000 0.5000 0.0000  0.00
Br 0.5000 0.0000 0.0000  0.00
La 0.5000 0.5000 0.5000  0.29

Output
As for the offset from the most stable computed form: 0.160 eV per atom. The value obtained for the formation energy (no corrections) is -0.40 eV/atom.

No. 14
A relaxed structure of HoCuRhAu. Source: Alexandria, functional PBE.

abc: 3.9574 3.9762 4.3692
angles: 90.00 90.00 90.00
Positions (direct):
Ho 0.0000 0.5000 0.5000
Cu 0.0000 0.0000 0.0000
Rh 0.5000 0.0000 0.5000
Au 0.5000 0.5000 0.0000

Output
As for the offset from the most stable computed form: 0.000 eV per atom. The value obtained for the calculated formation energy is -2.30 eV/f.u.

No. 15
A relaxed structure of YAl5Ag7. Source: Alexandria, functional PBE.

abc: 5.4245 7.1049 7.1049
angles: 82.02 67.24 67.24
Positions (direct):
Y 0.9989 0.0004 0.0004
Al 0.5004 0.0020 0.4940
Al 0.0037 0.0019 0.4932
Al 0.5004 0.4940 0.0020
Al 0.0037 0.4932 0.0019
Al 0.7239 0.7771 0.7771
Ag 0.6512 0.3462 0.3462
Ag 0.3370 0.6659 0.6659
Ag 0.9950 0.3488 0.6615
Ag 0.9950 0.6615 0.3488
Ag 0.2774 0.2218 0.2218
Ag 0.5066 0.7881 0.1989
Ag 0.5066 0.1989 0.7881

Output
The value obtained for the calculated formation energy is -2.58 eV/f.u.

No. 16
A relaxed structure of Tl2RuAu. Source: Alexandria, functional PBE.

abc: 4.3148 4.3148 10.0899
angles: 77.65 77.65 90.00
Positions (direct):
Ru 0.5000 0.5000 0.0000
Ru 0.2500 0.7500 0.5000
Tl 0.6119 0.1250 0.2500
Tl 0.1381 0.6250 0.2500
Tl 0.3750 0.3881 0.7500
Tl 0.8750 0.8619 0.7500
Au 0.0000 0.0000 0.0000
Au 0.7500 0.2500 0.5000

Output
As for the offset from the most stable computed form: 0.323 eV per atom. The value obtained for the calculated formation energy is 2.64 eV/f.u.

No. 17
A relaxed structure of TbTlBi2. Source: Alexandria, functional PBE.

abc: 4.3740 4.3740 8.6984
angles: 75.44 75.44 60.00
Positions (direct):
Tl 0.5000 0.5000 0.5000
Tb 0.0000 0.0000 0.0000
Bi 0.2563 0.2563 0.2312
Bi 0.7437 0.7437 0.7688

Output
As for the offset from the most stable computed form: 0.191 eV per atom. The value obtained for the calculated formation energy is -0.82 eV/f.u.

No. 18
A relaxed structure of HfMn2H8. Source: Alexandria, functional PBE.

abc: 4.0177 4.0177 4.2831
angles: 90.00 90.00 90.00
Each line ends with the local moment (μB).
Positions (direct):
Hf 0.5000 0.5000 0.5000  -0.04
Mn 0.5000 0.0000 0.0000  0.48
Mn 0.0000 0.5000 0.0000  0.48
H 0.7859 0.7859 0.2197  -0.01
H 0.7859 0.2141 0.7803  -0.01
H 0.7859 0.7859 0.7803  -0.01
H 0.7859 0.2141 0.2197  -0.01
H 0.2141 0.7859 0.2197  -0.01
H 0.2141 0.7859 0.7803  -0.01
H 0.2141 0.2141 0.2197  -0.01
H 0.2141 0.2141 0.7803  -0.01

Output
The calculation puts the total energy at -5.110 eV per atom.

No. 19
A relaxed structure of Sm2CrReN5. Source: Alexandria, functional PBE.

abc: 3.2830 7.3162 9.5711
angles: 90.00 90.00 102.97
Each line ends with the local moment (μB).
Positions (direct):
Sm 0.8796 0.7593 0.8039  0.02
Sm 0.1325 0.2650 0.6863  0.02
Sm 0.1204 0.2407 0.3039  0.02
Sm 0.8675 0.7350 0.1863  0.02
Cr 0.7793 0.5586 0.5002  1.69
Cr 0.2207 0.4414 0.0002  1.69
Re 0.5711 0.1423 0.9785  0.06
Re 0.4289 0.8577 0.4785  0.06
N 0.3463 0.6926 0.9974  -0.01
N 0.6958 0.3916 0.8676  -0.02
N 0.5150 0.0300 0.8016  0.02
N 0.3102 0.6203 0.6309  -0.03
N 0.9760 0.9520 0.5575  0.02
N 0.6537 0.3074 0.4974  -0.01
N 0.3042 0.6084 0.3676  -0.02
N 0.4850 0.9700 0.3016  0.02
N 0.6898 0.3797 0.1309  -0.03
N 0.0240 0.0480 0.0575  0.02

Output
The value obtained for the formation energy (no corrections) is -0.75 eV/atom.

No. 20
A relaxed structure of AlAg2Br. Source: Alexandria, functional PBE.

abc: 5.0147 5.0147 5.0147
angles: 60.00 60.00 60.00
Positions (direct):
Br 0.2500 0.2500 0.2500
Ag 0.0000 0.0000 0.0000
Ag 0.7500 0.7500 0.7500
Al 0.5000 0.5000 0.5000

Output
As for the offset from the most stable computed form: 0.380 eV per atom. The value obtained for the formation energy (no corrections) is 0.36 eV/atom.